# 1
# ZnCuHAu2

A relaxed structure of ZnCuHAu2 (PBE-GGA, Alexandria).

abc: 4.8877 4.8877 4.6229
angles: 90.00 90.00 90.00
Last column: nearest neighbours and their distance in Å.
Atoms (fractional coordinates):
Zn (0.0000, 0.0000, 0.0000)  2 Cu 2.31, 4 Au 2.44
Cu (0.0000, 0.0000, 0.5000)  2 Zn 2.31
H (0.5000, 0.5000, 0.5000)  8 Au 3.36, 4 Cu 3.46
Au (0.0000, 0.5000, 0.0000)  2 Zn 2.44
Au (0.5000, 0.0000, 0.0000)  2 Zn 2.44

# 2
# ZnCuHAu2

A relaxed structure of ZnCuHAu2 (PBE-GGA, Alexandria).

abc: 4.4447 4.4447 3.3741
angles: 90.00 90.00 90.00
Last column: nearest neighbours and their distance in Å.
Atoms (fractional coordinates):
Zn (0.0000, 0.0000, 0.0000)  8 Au 2.79
Cu (0.5000, 0.5000, 0.0000)  2 H 1.69
H (0.5000, 0.5000, 0.5000)  2 Cu 1.69
Au (0.0000, 0.5000, 0.5000)  2 H 2.22
Au (0.5000, 0.0000, 0.5000)  2 H 2.22

no.,D(E_F) (states/eV/f.u.),E above lowest polymorph (meV per atom)
1,1.5,926
2,1.4,0